Record 1
First-principles (PBE-GGA) data for a geometry-optimized LiSc2Se structure, as listed in Alexandria.

Lattice parameters (Å, degrees): 3.6493 3.6493 8.0560 76.83 76.83 60.01
Closest atoms and distances in Å follow each position.
Fractional coordinates of all 4 atoms:
Li 0.2500 0.2500 0.2500  6 Sc 3.08
Sc 0.0129 0.0129 0.9613  3 Se 2.67
Sc 0.4871 0.4871 0.5387  3 Se 2.67
Se 0.7500 0.7500 0.7500  6 Sc 2.67

The calculation puts the formation energy from raw total energies at -2.472 eV per formula unit. The value obtained for the density is 3.3 g/cm³. The calculation puts the density of states at the Fermi level at 5.1 states/eV/f.u.

---

Record 2
First-principles (PBE-GGA) data for a geometry-optimized Li2ScSe2 structure, as listed in Alexandria.

Lattice parameters (Å, degrees): 7.2478 7.2478 3.7661 90.00 90.00 90.00
Closest atoms and distances in Å follow each position.
Fractional coordinates of all 10 atoms:
Sc 0.0000 0.0000 0.0000  4 Se 2.67
Sc 0.5000 0.5000 0.0000  4 Se 2.67
Se 0.3238 0.8238 0.0000  2 Sc 2.67, 6 Li 2.68-2.96
Se 0.8238 0.6762 0.0000  2 Sc 2.67, 6 Li 2.68-2.96
Se 0.6762 0.1762 0.0000  2 Sc 2.67, 6 Li 2.68-2.96
Se 0.1762 0.3238 0.0000  2 Sc 2.67, 6 Li 2.68-2.96
Li 0.1373 0.6373 0.5000  6 Se 2.68-2.96, 1 Li 2.81
Li 0.6373 0.8627 0.5000  6 Se 2.68-2.96, 1 Li 2.81
Li 0.8627 0.3627 0.5000  6 Se 2.68-2.96, 1 Li 2.81
Li 0.3627 0.1373 0.5000  6 Se 2.68-2.96, 1 Li 2.81

Its energy relative to the lowest polymorph listed for this composition is 113 meV per atom. The calculation puts the formation energy from raw total energies at -5.666 eV per formula unit. The value obtained for the density is 3.6 g/cm³. The calculation puts the density of states at the Fermi level at 0.5 states/eV/f.u.

---

Record 3
First-principles (PBE-GGA) data for a geometry-optimized LiSc4Se structure, as listed in Alexandria.

Lattice parameters (Å, degrees): 5.9305 5.9305 5.9305 60.00 60.00 60.00
Closest atoms and distances in Å follow each position.
Fractional coordinates of all 6 atoms:
Li 0.0000 0.0000 0.0000  12 Sc 3.48, 4 Se 3.63
Sc 0.8764 0.3745 0.3745  6 Sc 2.95-2.98
Sc 0.3745 0.3745 0.8764  6 Sc 2.95-2.98
Sc 0.3745 0.8764 0.3745  6 Sc 2.95-2.98
Sc 0.3745 0.3745 0.3745  6 Sc 2.95-2.98
Se 0.7500 0.7500 0.7500  12 Sc 3.48, 4 Li 3.63

The calculation puts the formation energy from raw total energies at 1.555 eV per formula unit. The value obtained for the density is 3.0 g/cm³. The calculation puts the density of states at the Fermi level at 9.6 states/eV/f.u.

---

Record 4
First-principles (PBE-GGA) data for a geometry-optimized Li3Sc5Se8 structure, as listed in Alexandria.

Lattice parameters (Å, degrees): 7.7101 7.7101 7.7531 60.18 60.18 60.00
Closest atoms and distances in Å follow each position.
Fractional coordinates of all 16 atoms:
Li 0.5000 0.0000 0.5000  6 Se 2.73-2.75
Li 0.0000 0.0000 0.5000  6 Se 2.73-2.75
Li 0.0000 0.5000 0.5000  6 Se 2.73-2.75
Sc 0.5000 0.0000 0.0000  6 Se 2.72-2.74
Sc 0.5000 0.5000 0.0000  6 Se 2.72-2.74
Sc 0.0000 0.0000 0.0000  6 Se 2.73
Sc 0.0000 0.5000 0.0000  6 Se 2.72-2.74
Sc 0.5000 0.5000 0.5000  6 Se 2.73
Se 0.2500 0.2500 0.7488  2 Li 2.73, 4 Sc 2.73-2.74
Se 0.2500 0.7511 0.7488  2 Li 2.73, 4 Sc 2.73-2.74
Se 0.7511 0.2500 0.7488  2 Li 2.73, 4 Sc 2.73-2.74
Se 0.7485 0.7485 0.7546  3 Sc 2.72, 3 Li 2.75
Se 0.7500 0.7500 0.2512  2 Li 2.73, 4 Sc 2.73-2.74
Se 0.7500 0.2489 0.2512  2 Li 2.73, 4 Sc 2.73-2.74
Se 0.2489 0.7500 0.2512  2 Li 2.73, 4 Sc 2.73-2.74
Se 0.2515 0.2515 0.2454  3 Sc 2.72, 3 Li 2.75

The calculation puts the formation energy from raw total energies at -25.891 eV per formula unit. The value obtained for the density is 4.5 g/cm³. The calculation puts the density of states at the Fermi level at 4.4 states/eV/f.u.

---

Record 5
First-principles (PBE-GGA) data for a geometry-optimized LiScSe2 structure, as listed in Alexandria.

Lattice parameters (Å, degrees): 5.3149 3.9022 3.9038 90.02 90.00 90.00
Closest atoms and distances in Å follow each position.
Fractional coordinates of all 4 atoms:
Li 0.0000 0.3758 0.3747  6 Se 2.66-2.76
Sc 0.5000 0.8747 0.8753  6 Se 2.66-2.76
Se 0.0000 0.8750 0.8749  2 Sc 2.66, 4 Li 2.76
Se 0.5000 0.3745 0.3752  2 Li 2.66, 4 Sc 2.76

The calculation puts the formation energy from raw total energies at -5.948 eV per formula unit. The value obtained for the density is 4.3 g/cm³. The calculation puts the density of states at the Fermi level at 0.7 states/eV/f.u.

---

Record 6
First-principles (PBE-GGA) data for a geometry-optimized LiSc2Se structure, as listed in Alexandria.

Lattice parameters (Å, degrees): 3.6851 3.6851 5.9083 90.00 90.00 90.00
Closest atoms and distances in Å follow each position.
Fractional coordinates of all 4 atoms:
Li 0.5000 0.5000 0.7482  5 Sc 2.76-2.97, 4 Se 3.05
Sc 0.0000 0.0000 0.9909  2 Se 2.89-3.02, 4 Li 2.97, 4 Sc 3.12
Sc 0.5000 0.5000 0.2806  1 Li 2.76, 4 Se 2.86
Se 0.0000 0.0000 0.4804  6 Sc 2.86-3.02, 4 Li 3.05

The calculation puts the formation energy from raw total energies at -2.576 eV per formula unit. The value obtained for the density is 3.6 g/cm³. The calculation puts the density of states at the Fermi level at 2.9 states/eV/f.u.

---

Record 7
First-principles (PBE-GGA) data for a geometry-optimized LiSc2Se structure, as listed in Alexandria.

Lattice parameters (Å, degrees): 5.9414 5.9414 5.9414 145.31 132.31 60.31
Closest atoms and distances in Å follow each position.
Fractional coordinates of all 4 atoms:
Li 0.2500 0.7500 0.5000  4 Se 2.98, 4 Sc 3.14
Sc 0.9472 0.9472 0.0000  2 Se 2.69
Sc 0.5528 0.5528 0.0000  2 Se 2.69
Se 0.7500 0.2500 0.5000  4 Sc 2.69, 4 Li 2.98

The calculation puts the formation energy from raw total energies at -2.214 eV per formula unit. The value obtained for the density is 3.3 g/cm³. The calculation puts the density of states at the Fermi level at 3.8 states/eV/f.u.

---

Record 8
First-principles (PBE-GGA) data for a geometry-optimized LiSc2Se structure, as listed in Alexandria.

Lattice parameters (Å, degrees): 3.8511 6.2273 5.5223 38.76 90.00 90.00
Closest atoms and distances in Å follow each position.
Fractional coordinates of all 4 atoms:
Li 0.0000 0.0000 0.5000  6 Sc 2.76
Sc 0.0000 0.0000 0.0000  4 Se 2.76, 2 Li 2.76
Sc 0.5000 0.5000 0.0000  4 Li 2.76, 2 Se 2.76
Se 0.5000 0.5000 0.5000  6 Sc 2.76

The calculation puts the formation energy from raw total energies at -2.039 eV per formula unit. The value obtained for the density is 3.5 g/cm³. The calculation puts the density of states at the Fermi level at 3.1 states/eV/f.u.

---

Record 9
First-principles (PBE-GGA) data for a geometry-optimized LiScSe2 structure, as listed in Alexandria.

Lattice parameters (Å, degrees): 6.0341 6.0341 7.2942 65.57 65.57 90.00
Closest atoms and distances in Å follow each position.
Fractional coordinates of all 8 atoms:
Sc 0.0000 0.0000 0.0000  4 Se 2.58
Sc 0.7500 0.2500 0.5000  4 Se 2.58
Se 0.6294 0.1250 0.2500  2 Sc 2.58, 2 Li 2.61
Se 0.1206 0.6250 0.2500  2 Sc 2.58, 2 Li 2.61
Se 0.3750 0.3706 0.7500  2 Sc 2.58, 2 Li 2.61
Se 0.8750 0.8794 0.7500  2 Sc 2.58, 2 Li 2.61
Li 0.5000 0.5000 0.0000  4 Se 2.61
Li 0.2500 0.7500 0.5000  4 Se 2.61

The calculation puts the formation energy from raw total energies at -5.718 eV per formula unit. The value obtained for the density is 3.2 g/cm³. The calculation puts the density of states at the Fermi level at 0.0 states/eV/f.u.

---

Record 10
First-principles (PBE-GGA) data for a geometry-optimized Li2ScSe structure, as listed in Alexandria.

Lattice parameters (Å, degrees): 6.5913 6.5913 6.5913 149.84 144.54 47.22
Closest atoms and distances in Å follow each position.
Fractional coordinates of all 4 atoms:
Li 0.0842 0.0842 0.0000  2 Li 2.66, 2 Se 2.70
Li 0.7288 0.2288 0.5000  2 Li 2.66, 4 Se 2.66
Sc 0.4304 0.4304 0.0000  2 Se 2.71
Se 0.2566 0.7566 0.5000  6 Li 2.66-2.70, 2 Sc 2.71

The calculation puts the formation energy from raw total energies at -2.186 eV per formula unit. The value obtained for the density is 2.8 g/cm³. The calculation puts the density of states at the Fermi level at 2.9 states/eV/f.u.

---

E_tot list, top to bottom, in Ry per atom: -0.37730, -0.33507, -0.35733, -0.41879, -0.38886, -0.37920, -0.37256, -0.36934, -0.38463, -0.29087